A geometry-optimized HfZrCS structure, computed with GGA-PBE.

a = 3.4042 Å, b = 3.4042 Å, c = 12.1589 Å
α = 90.00°, β = 90.00°, γ = 120.00°
Closest atoms and distances in Å follow each position.
Fractional coordinates of all 8 atoms:
Hf 0.3333 0.6667 0.4008  3 C 2.31
Hf 0.6667 0.3333 0.5992  3 C 2.31
Zr 0.3333 0.6667 0.1014  3 C 2.32
Zr 0.6667 0.3333 0.8986  3 C 2.32
C 0.0000 0.0000 0.0000  6 Zr 2.32
C 0.0000 0.0000 0.5000  6 Hf 2.31
S 0.3333 0.6667 0.7454  3 Hf 2.65, 3 Zr 2.71
S 0.6667 0.3333 0.2546  3 Hf 2.65, 3 Zr 2.71

Results
Offset from the most stable computed form = 0.010 eV per formula unit
Magnetic moment = 0.000 μB/atom
Electronic total energy = -74.456 eV/cell
Theoretical density = 8.54 g/cm3



A geometry-optimized Nb4FeSnN2 structure, computed with GGA-PBE.

a = 3.1526 Å, b = 3.1526 Å, c = 13.5549 Å
α = 90.00°, β = 90.00°, γ = 120.00°
Closest atoms and distances in Å follow each position.
Fractional coordinates of all 8 atoms:
Nb 0.0000 0.0000 0.1460  3 N 2.18
Nb 0.0000 0.0000 0.8540  3 N 2.18
Nb 0.3333 0.6667 0.3241  3 N 2.19
Nb 0.3333 0.6667 0.6759  3 N 2.19
Fe 0.3333 0.6667 0.0000  6 Nb 2.69
Sn 0.0000 0.0000 0.5000  6 Nb 3.00, 6 Sn 3.15
N 0.6667 0.3333 0.2344  6 Nb 2.18-2.19
N 0.6667 0.3333 0.7656  6 Nb 2.18-2.19

Results
Magnetic moment = 0.164 μB/atom
Electronic total energy = -72.841 eV/cell
Theoretical density = 8.17 g/cm3